#one
4
Lattice="4.2964 -1.3026 0.0000 4.2964 1.3026 0.0000 -0.7916 0.0000 4.3255" Properties=species:S:1:pos:R:3 comment="Ni2OsRu, relaxed, DFT PBEsol" sg="No. 8" crystal_system=monoclinic n_ef_per_ev_cell=4.6 pbc="T T T"
Ni 0.0000 0.0000 0.0000
Ni 6.2409 0.0000 0.9845
Os 3.8795 0.0000 2.1252
Ru 1.5621 0.0000 3.1701

#two
4
Lattice="2.6371 0.0000 0.0000 0.0000 3.6284 0.0000 0.0000 0.0000 5.0773" Properties=species:S:1:pos:R:3 comment="Ni2OsRu, relaxed, DFT PBEsol" sg="No. 25" crystal_system=orthorhombic n_ef_per_ev_cell=4.2 pbc="T T T"
Ni 0.0000 0.0000 0.0000
Ni 1.3185 1.8142 1.1571
Os 0.0000 0.0000 2.4750
Ru 1.3185 1.8142 3.7430

Which structure loses on stability? #one does.

#one
4
Lattice="0.0000 2.8868 2.8868 2.8868 0.0000 2.8868 2.8868 2.8868 0.0000" Properties=species:S:1:pos:R:3 comment="Ni2OsRu, relaxed, DFT PBEsol" sg="No. 225" crystal_system=cubic n_ef_per_ev_cell=4.6 pbc="T T T"
Ni 1.4434 1.4434 1.4434
Ni 4.3302 4.3302 4.3302
Os 0.0000 0.0000 0.0000
Ru 2.8868 2.8868 2.8868

#two
4
Lattice="-1.8027 1.8027 3.7024 1.8027 -1.8027 3.7024 1.8027 1.8027 -3.7024" Properties=species:S:1:pos:R:3 comment="Ni2OsRu, relaxed, DFT PBEsol" sg="No. 119" crystal_system=tetragonal n_ef_per_ev_cell=4.3 pbc="T T T"
Ni 0.0000 0.0000 0.0000
Ni 0.0000 1.8027 1.8512
Os 1.8027 0.0000 1.8512
Ru 0.0000 0.0000 3.7024

Which structure loses on stability? #one does.

#one
4
Lattice="3.1851 0.0000 0.0000 0.0000 3.1851 0.0000 0.0000 0.0000 6.1982" Properties=species:S:1:pos:R:3 comment="Sc2NiOs, relaxed, DFT PBEsol" sg="No. 123" crystal_system=tetragonal n_ef_per_ev_cell=1.3 pbc="T T T"
Sc 0.0000 0.0000 1.5393
Sc 0.0000 0.0000 4.6589
Ni 1.5926 1.5926 3.0991
Os 1.5926 1.5926 0.0000

#two
4
Lattice="3.1206 0.0000 0.0000 0.0000 3.1206 0.0000 0.0000 0.0000 7.2352" Properties=species:S:1:pos:R:3 comment="Sc2NiOs, relaxed, DFT PBEsol" sg="No. 99" crystal_system=tetragonal n_ef_per_ev_cell=3.5 pbc="T T T"
Sc 0.0000 0.0000 0.0000
Sc 1.5603 1.5603 2.7893
Ni 0.0000 0.0000 4.3899
Os 1.5603 1.5603 5.5289

Which structure loses on stability? #two does.

#one
4
Lattice="2.7927 0.0000 0.0000 0.0000 3.5843 0.0000 0.0000 0.0000 6.9851" Properties=species:S:1:pos:R:3 comment="SrNiOs2, relaxed, DFT PBEsol" sg="No. 25" crystal_system=orthorhombic n_ef_per_ev_cell=4.2 pbc="T T T"
Sr 0.0000 0.0000 0.0000
Ni 1.3963 1.7921 2.0999
Os 0.0000 0.0000 3.4302
Os 1.3963 1.7921 4.6075

#two
4
Lattice="2.7965 0.0000 0.0000 0.0000 2.7965 0.0000 0.0000 0.0000 8.2057" Properties=species:S:1:pos:R:3 comment="SrNiOs2, relaxed, DFT PBEsol" sg="No. 123" crystal_system=tetragonal n_ef_per_ev_cell=2.0 pbc="T T T"
Sr 0.0000 0.0000 0.0000
Ni 0.0000 0.0000 4.1028
Os 1.3982 1.3982 2.5471
Os 1.3982 1.3982 5.6586

Which structure loses on stability? #two does.

#one
4
Lattice="-1.9169 1.9169 3.7991 1.9169 -1.9169 3.7991 1.9169 1.9169 -3.7991" Properties=species:S:1:pos:R:3 comment="NiOsW2, relaxed, DFT PBEsol" sg="No. 139" crystal_system=tetragonal n_ef_per_ev_cell=1.9 pbc="T T T"
Ni 0.0000 0.0000 0.0000
Os 0.0000 0.0000 3.7991
W 1.9169 0.0000 1.8995
W 0.0000 1.9169 1.8995

#two
4
Lattice="4.4173 -1.3946 0.0000 4.4173 1.3946 0.0000 -0.8619 0.0000 4.5877" Properties=species:S:1:pos:R:3 comment="NiOsW2, relaxed, DFT PBEsol" sg="No. 8" crystal_system=monoclinic n_ef_per_ev_cell=3.5 pbc="T T T"
Ni 0.0000 0.0000 0.0000
Os 1.6225 0.0000 3.3497
W 4.0236 0.0000 2.3046
W 6.3942 0.0000 0.9461

#three
4
Lattice="2.7165 0.0000 0.0000 0.0000 2.7165 0.0000 0.0000 0.0000 7.5826" Properties=species:S:1:pos:R:3 comment="NiOsW2, relaxed, DFT PBEsol" sg="No. 123" crystal_system=tetragonal n_ef_per_ev_cell=2.9 pbc="T T T"
Ni 0.0000 0.0000 0.0000
Os 0.0000 0.0000 3.7913
W 1.3583 1.3583 1.8365
W 1.3583 1.3583 5.7461

Which structure loses on stability? #two does.

#one
4
Lattice="3.8163 0.0000 0.0000 0.0000 3.8163 0.0000 0.0000 0.0000 3.8267" Properties=species:S:1:pos:R:3 comment="NiOsW2, relaxed, DFT PBEsol" sg="No. 123" crystal_system=tetragonal n_ef_per_ev_cell=2.5 pbc="T T T"
Ni 0.0000 0.0000 0.0000
Os 1.9081 1.9081 0.0000
W 0.0000 1.9081 1.9133
W 1.9081 0.0000 1.9133

#two
4
Lattice="2.7648 0.0000 0.0000 0.0000 4.3452 0.0000 0.0000 0.0000 4.6730" Properties=species:S:1:pos:R:3 comment="NiOsW2, relaxed, DFT PBEsol" sg="No. 25" crystal_system=orthorhombic n_ef_per_ev_cell=3.7 pbc="T T T"
Ni 0.0000 0.0000 0.0000
Os 0.0000 2.1726 3.0472
W 1.3824 0.0000 2.3026
W 1.3824 2.1726 0.6401

Which structure loses on stability? #two does.

#one
4
Lattice="-1.3665 2.1859 4.5724 1.3665 -2.1859 4.5724 1.3665 2.1859 -4.5724" Properties=species:S:1:pos:R:3 comment="NiOs2W, relaxed, DFT PBEsol" sg="No. 71" crystal_system=orthorhombic n_ef_per_ev_cell=4.4 pbc="T T T"
Ni 0.0000 0.0000 0.0000
Os 1.3665 0.0000 2.0215
Os 0.0000 2.1859 2.5509
W 0.0000 0.0000 4.5724

#two
4
Lattice="4.3422 -1.3540 0.0000 4.3422 1.3540 0.0000 -0.7718 0.0000 4.6556" Properties=species:S:1:pos:R:3 comment="NiOs2W, relaxed, DFT PBEsol" sg="No. 12" crystal_system=monoclinic n_ef_per_ev_cell=3.0 pbc="T T T"
Ni 0.0000 0.0000 0.0000
Os 1.5928 0.0000 3.5738
Os 6.3198 0.0000 1.0818
W 3.9563 0.0000 2.3278

#three
4
Lattice="3.8205 0.0000 0.0000 0.0000 3.8205 0.0000 0.0000 0.0000 3.7078" Properties=species:S:1:pos:R:3 comment="NiOs2W, relaxed, DFT PBEsol" sg="No. 123" crystal_system=tetragonal n_ef_per_ev_cell=1.8 pbc="T T T"
Ni 0.0000 0.0000 0.0000
Os 0.0000 1.9103 1.8539
Os 1.9103 0.0000 1.8539
W 1.9103 1.9103 0.0000

Which structure loses on stability? #one does.

#one
4
Lattice="0.0000 3.1405 3.1405 3.1405 0.0000 3.1405 3.1405 3.1405 0.0000" Properties=species:S:1:pos:R:3 comment="YNiOs2, relaxed, DFT PBEsol" sg="No. 225" crystal_system=cubic n_ef_per_ev_cell=7.8 pbc="T T T"
Y 0.0000 0.0000 0.0000
Ni 3.1405 3.1405 3.1405
Os 1.5703 1.5703 1.5703
Os 4.7108 4.7108 4.7108

#two
4
Lattice="-1.9104 1.9104 4.2991 1.9104 -1.9104 4.2991 1.9104 1.9104 -4.2991" Properties=species:S:1:pos:R:3 comment="YNiOs2, relaxed, DFT PBEsol" sg="No. 139" crystal_system=tetragonal n_ef_per_ev_cell=5.2 pbc="T T T"
Y 0.0000 0.0000 0.0000
Ni 0.0000 0.0000 4.2991
Os 1.9104 0.0000 2.1495
Os 0.0000 1.9104 2.1495

#three
4
Lattice="1.3772 0.7952 9.2498 -1.3772 0.7952 9.2498 0.0000 -1.5903 9.2498" Properties=species:S:1:pos:R:3 comment="YNiOs2, relaxed, DFT PBEsol" sg="No. 166" crystal_system=trigonal n_ef_per_ev_cell=5.9 pbc="T T T"
Y 0.0000 0.0000 0.0000
Ni 0.0000 0.0000 13.8747
Os 0.0000 0.0000 6.6148
Os 0.0000 0.0000 21.1346

Which structure loses on stability? #one does.

#one
3
Lattice="-1.3873 1.3873 5.8052 1.3873 -1.3873 5.8052 1.3873 1.3873 -5.8052" Properties=species:S:1:pos:R:3 comment="ZrNiOs, relaxed, DFT PBEsol" sg="No. 107" crystal_system=tetragonal n_ef_per_ev_cell=4.6 pbc="T T T"
Zr 0.0000 0.0000 0.0000
Ni 0.0000 0.0000 7.8362
Os 0.0000 0.0000 3.6148

#two
3
Lattice="0.0000 2.9906 2.9906 2.9906 0.0000 2.9906 2.9906 2.9906 0.0000" Properties=species:S:1:pos:R:3 comment="ZrNiOs, relaxed, DFT PBEsol" sg="No. 216" crystal_system=cubic n_ef_per_ev_cell=2.6 pbc="T T T"
Zr 0.0000 0.0000 0.0000
Ni 4.4859 4.4859 4.4859
Os 1.4953 1.4953 1.4953

Which structure loses on stability? #two does.

#one
5
Lattice="4.5084 0.0000 0.0000 0.0000 4.5084 0.0000 0.0000 0.0000 4.6645" Properties=species:S:1:pos:R:3 comment="ReNiPS2, relaxed, DFT PBEsol" sg="No. 123" crystal_system=tetragonal n_ef_per_ev_cell=5.7 pbc="T T T"
Re 0.0000 0.0000 0.0000
Ni 2.2542 2.2542 2.3323
P 0.0000 0.0000 2.3323
S 0.0000 2.2542 0.0000
S 2.2542 0.0000 0.0000

#two
5
Lattice="4.2341 0.0000 0.0000 0.0000 4.2341 0.0000 0.0000 0.0000 4.2038" Properties=species:S:1:pos:R:3 comment="ReNiPS2, relaxed, DFT PBEsol" sg="No. 123" crystal_system=tetragonal n_ef_per_ev_cell=4.8 pbc="T T T"
Re 0.0000 0.0000 0.0000
Ni 2.1171 2.1171 2.1019
P 2.1171 2.1171 0.0000
S 0.0000 2.1171 2.1019
S 2.1171 0.0000 2.1019

Which structure loses on stability? #two does.

#one
4
Lattice="1.4288 0.8249 6.9667 -1.4288 0.8249 6.9667 0.0000 -1.6498 6.9667" Properties=species:S:1:pos:R:3 comment="NiP2Rh, relaxed, DFT PBEsol" sg="No. 166" crystal_system=trigonal n_ef_per_ev_cell=2.1 pbc="T T T"
Ni 0.0000 0.0000 0.0000
P 0.0000 0.0000 5.3155
P 0.0000 0.0000 15.5847
Rh 0.0000 0.0000 10.4501

#two
4
Lattice="3.9059 0.0000 0.0000 0.0000 2.8432 0.0000 -1.8954 0.0000 4.4425" Properties=species:S:1:pos:R:3 comment="NiP2Rh, relaxed, DFT PBEsol" sg="No. 10" crystal_system=monoclinic n_ef_per_ev_cell=2.9 pbc="T T T"
Ni 0.0000 0.0000 0.0000
P -0.9477 0.0000 2.2212
P 1.9529 1.4216 0.0000
Rh 1.0052 1.4216 2.2212

Which structure loses on stability? #two does.

#one
4
Lattice="2.7965 0.0000 0.0000 0.0000 2.8780 0.0000 0.0000 0.0000 6.5823" Properties=species:S:1:pos:R:3 comment="Ni2PSe, relaxed, DFT PBEsol" sg="No. 47" crystal_system=orthorhombic n_ef_per_ev_cell=2.2 pbc="T T T"
Ni 0.0000 0.0000 1.2341
Ni 0.0000 0.0000 5.3481
P 1.3982 1.4390 0.0000
Se 0.0000 1.4390 3.2911

#two
4
Lattice="3.1926 -1.6056 0.0000 3.1926 1.6056 0.0000 -1.5695 0.0000 5.2262" Properties=species:S:1:pos:R:3 comment="Ni2PSe, relaxed, DFT PBEsol" sg="No. 12" crystal_system=monoclinic n_ef_per_ev_cell=2.4 pbc="T T T"
Ni 1.2276 0.0000 1.0013
Ni 3.5880 0.0000 4.2250
P 3.1926 0.0000 0.0000
Se -0.7848 0.0000 2.6131

#three
4
Lattice="4.3759 0.0000 0.0000 0.0000 1.9386 3.4934 0.0000 -1.9386 3.4934" Properties=species:S:1:pos:R:3 comment="Ni2PSe, relaxed, DFT PBEsol" sg="No. 38" crystal_system=orthorhombic n_ef_per_ev_cell=1.5 pbc="T T T"
Ni 0.0000 0.0000 0.0000
Ni 2.1879 0.0000 1.3804
P 0.0000 0.0000 2.2372
Se 2.1879 0.0000 6.0940

Which structure loses on stability? #one does.

#one
4
Lattice="2.9746 -3.4986 0.0000 2.9746 3.4986 0.0000 -0.8921 0.0000 3.7448" Properties=species:S:1:pos:R:3 comment="Tl2NiP, relaxed, DFT PBEsol" sg="No. 12" crystal_system=monoclinic n_ef_per_ev_cell=2.6 pbc="T T T"
Tl 1.4873 1.7493 0.0000
Tl 1.4873 -1.7493 0.0000
Ni -0.4461 0.0000 1.8724
P 2.5285 0.0000 1.8724

#two
4
Lattice="1.8872 1.0896 7.0843 -1.8872 1.0896 7.0843 0.0000 -2.1791 7.0843" Properties=species:S:1:pos:R:3 comment="Tl2NiP, relaxed, DFT PBEsol" sg="No. 160" crystal_system=trigonal n_ef_per_ev_cell=1.4 pbc="T T T"
Tl 0.0000 0.0000 0.0000
Tl 0.0000 0.0000 4.2605
Ni 0.0000 0.0000 16.2875
P 0.0000 0.0000 9.2154

Which structure loses on stability? #one does.